No. 1
Pr5Te2Ir2 after structural relaxation. Source: Alexandria, functional PBE.

CIF file:
```
data_Pr5Te2Ir2
_cell_length_a 9.0365
_cell_length_b 9.0365
_cell_length_c 8.0880
_cell_angle_alpha 90.00
_cell_angle_beta 90.00
_cell_angle_gamma 53.51
_symmetry_space_group_name_H-M 'P 1'
_symmetry_Int_Tables_number 1
loop_
_symmetry_equiv_pos_as_xyz
'x,y,z'
loop_
_atom_site_label
_atom_site_type_symbol
_atom_site_fract_x
_atom_site_fract_y
_atom_site_fract_z
Pr1 Pr 0.0000 0.0000 0.0000
Pr2 Pr 0.0434 0.7213 0.6591
Pr3 Pr 0.2213 0.5434 0.1591
Pr4 Pr 0.2787 0.9566 0.6591
Pr5 Pr 0.4566 0.7787 0.1591
Pr6 Pr 0.5000 0.5000 0.5000
Pr7 Pr 0.5434 0.2213 0.8409
Pr8 Pr 0.7213 0.0434 0.3409
Pr9 Pr 0.7787 0.4566 0.8409
Pr10 Pr 0.9566 0.2787 0.3409
Te1 Te 0.2073 0.2073 0.0000
Te2 Te 0.2927 0.2927 0.5000
Te3 Te 0.7073 0.7073 0.5000
Te4 Te 0.7927 0.7927 0.0000
Ir1 Ir 0.1387 0.8613 0.3623
Ir2 Ir 0.3613 0.6387 0.8623
Ir3 Ir 0.6387 0.3613 0.1377
Ir4 Ir 0.8613 0.1387 0.6377
```

## Properties
Space group: Cmce, No. 64
Uncorrected formation energy in eV per atom: -0.961

=====

No. 2
Pr4TeIr2 after structural relaxation. Source: Alexandria, functional PBE.

CIF file:
```
data_Pr4TeIr2
_cell_length_a 14.0654
_cell_length_b 14.0654
_cell_length_c 14.0654
_cell_angle_alpha 17.48
_cell_angle_beta 17.48
_cell_angle_gamma 17.48
_symmetry_space_group_name_H-M 'P 1'
_symmetry_Int_Tables_number 1
loop_
_symmetry_equiv_pos_as_xyz
'x,y,z'
loop_
_atom_site_label
_atom_site_type_symbol
_atom_site_fract_x
_atom_site_fract_y
_atom_site_fract_z
Pr1 Pr 0.1261 0.1261 0.1261
Pr2 Pr 0.2807 0.2807 0.2807
Pr3 Pr 0.7193 0.7193 0.7193
Pr4 Pr 0.8739 0.8739 0.8739
Te1 Te 0.0000 0.0000 0.0000
Ir1 Ir 0.4252 0.4252 0.4252
Ir2 Ir 0.5748 0.5748 0.5748
```

## Properties
Space group: R-3m, No. 166
Energy above the lowest structure with this stoichiometry in eV/atom: 0.0000
Uncorrected formation energy in eV per atom: -0.786

=====

No. 3
Pr3TeIr after structural relaxation. Source: Alexandria, functional PBE.

CIF file:
```
data_Pr3TeIr
_cell_length_a 8.4492
_cell_length_b 4.2747
_cell_length_c 8.8684
_cell_angle_alpha 90.00
_cell_angle_beta 105.28
_cell_angle_gamma 90.00
_symmetry_space_group_name_H-M 'P 1'
_symmetry_Int_Tables_number 1
loop_
_symmetry_equiv_pos_as_xyz
'x,y,z'
loop_
_atom_site_label
_atom_site_type_symbol
_atom_site_fract_x
_atom_site_fract_y
_atom_site_fract_z
Pr1 Pr 0.0707 0.2500 0.2650
Pr2 Pr 0.3068 0.2500 0.9391
Pr3 Pr 0.3149 0.7500 0.5919
Pr4 Pr 0.6851 0.2500 0.4081
Pr5 Pr 0.6932 0.7500 0.0609
Pr6 Pr 0.9293 0.7500 0.7350
Te1 Te 0.3835 0.7500 0.2340
Te2 Te 0.6165 0.2500 0.7660
Ir1 Ir 0.0888 0.2500 0.6137
Ir2 Ir 0.9112 0.7500 0.3863
```

## Properties
Space group: P2_1/m, No. 11
Energy above the lowest structure with this stoichiometry in eV/atom: 0.0450
Uncorrected formation energy in eV per atom: -0.846

=====

No. 4
Pr2TeIr after structural relaxation. Source: Alexandria, functional PBE.

CIF file:
```
data_Pr2TeIr
_cell_length_a 4.2755
_cell_length_b 4.2755
_cell_length_c 7.9390
_cell_angle_alpha 105.67
_cell_angle_beta 105.67
_cell_angle_gamma 60.04
_symmetry_space_group_name_H-M 'P 1'
_symmetry_Int_Tables_number 1
loop_
_symmetry_equiv_pos_as_xyz
'x,y,z'
loop_
_atom_site_label
_atom_site_type_symbol
_atom_site_fract_x
_atom_site_fract_y
_atom_site_fract_z
Pr1 Pr 0.2368 0.2368 0.2107
Pr2 Pr 0.7632 0.7632 0.7893
Te1 Te 0.0000 0.0000 0.5000
Ir1 Ir 0.5000 0.5000 0.0000
```

## Properties
Space group: C2/m, No. 12
Energy above the lowest structure with this stoichiometry in eV/atom: 0.0000
Uncorrected formation energy in eV per atom: -0.991

=====

No. 5
Pr3Te2Ir after structural relaxation. Source: Alexandria, functional PBE.

CIF file:
```
data_Pr3Te2Ir
_cell_length_a 14.5618
_cell_length_b 13.8668
_cell_length_c 7.7856
_cell_angle_alpha 79.09
_cell_angle_beta 69.24
_cell_angle_gamma 31.67
_symmetry_space_group_name_H-M 'P 1'
_symmetry_Int_Tables_number 1
loop_
_symmetry_equiv_pos_as_xyz
'x,y,z'
loop_
_atom_site_label
_atom_site_type_symbol
_atom_site_fract_x
_atom_site_fract_y
_atom_site_fract_z
Pr1 Pr 0.0392 0.5292 0.1832
Pr2 Pr 0.0880 0.6620 0.6620
Pr3 Pr 0.1832 0.7483 0.0392
Pr4 Pr 0.2517 0.8168 0.4708
Pr5 Pr 0.3380 0.9120 0.9120
Pr6 Pr 0.4708 0.9608 0.2517
Pr7 Pr 0.5292 0.0392 0.7483
Pr8 Pr 0.6620 0.0880 0.0880
Pr9 Pr 0.7483 0.1832 0.5292
Pr10 Pr 0.8168 0.2517 0.9608
Pr11 Pr 0.9120 0.3380 0.3380
Pr12 Pr 0.9608 0.4708 0.8168
Te1 Te 0.1295 0.1295 0.6205
Te2 Te 0.2966 0.2966 0.4534
Te3 Te 0.3795 0.3795 0.8705
Te4 Te 0.4534 0.4534 0.2966
Te5 Te 0.5466 0.5466 0.7034
Te6 Te 0.6205 0.6205 0.1295
Te7 Te 0.7034 0.7034 0.5466
Te8 Te 0.8705 0.8705 0.3795
Ir1 Ir 0.0414 0.0414 0.2086
Ir2 Ir 0.2086 0.2086 0.0414
Ir3 Ir 0.7914 0.7914 0.9586
Ir4 Ir 0.9586 0.9586 0.7914
```

## Properties
Space group: Fddd, No. 70
Energy above the lowest structure with this stoichiometry in eV/atom: 0.0000
Uncorrected formation energy in eV per atom: -1.172

=====

No. 6
Pr3Te2Ir after structural relaxation. Source: Alexandria, functional PBE.

CIF file:
```
data_Pr3Te2Ir
_cell_length_a 7.7512
_cell_length_b 7.7512
_cell_length_c 7.4744
_cell_angle_alpha 99.80
_cell_angle_beta 99.80
_cell_angle_gamma 117.89
_symmetry_space_group_name_H-M 'P 1'
_symmetry_Int_Tables_number 1
loop_
_symmetry_equiv_pos_as_xyz
'x,y,z'
loop_
_atom_site_label
_atom_site_type_symbol
_atom_site_fract_x
_atom_site_fract_y
_atom_site_fract_z
Pr1 Pr 0.0000 0.5000 0.0000
Pr2 Pr 0.1354 0.2749 0.4959
Pr3 Pr 0.2749 0.1354 0.9959
Pr4 Pr 0.5000 0.0000 0.5000
Pr5 Pr 0.7251 0.8646 0.0041
Pr6 Pr 0.8646 0.7251 0.5041
Te1 Te 0.2623 0.7377 0.7500
Te2 Te 0.4195 0.5805 0.2500
Te3 Te 0.5805 0.4195 0.7500
Te4 Te 0.7377 0.2623 0.2500
Ir1 Ir 0.0908 0.9092 0.2500
Ir2 Ir 0.9092 0.0908 0.7500
```

## Properties
Space group: C2/c, No. 15
Energy above the lowest structure with this stoichiometry in eV/atom: 0.0411
Uncorrected formation energy in eV per atom: -1.131

=====

No. 7
Pr2TeIr after structural relaxation. Source: Alexandria, functional PBE.

CIF file:
```
data_Pr2TeIr
_cell_length_a 3.7229
_cell_length_b 3.7229
_cell_length_c 7.6641
_cell_angle_alpha 90.00
_cell_angle_beta 90.00
_cell_angle_gamma 90.00
_symmetry_space_group_name_H-M 'P 1'
_symmetry_Int_Tables_number 1
loop_
_symmetry_equiv_pos_as_xyz
'x,y,z'
loop_
_atom_site_label
_atom_site_type_symbol
_atom_site_fract_x
_atom_site_fract_y
_atom_site_fract_z
Pr1 Pr 0.0000 0.0000 0.2232
Pr2 Pr 0.0000 0.0000 0.7768
Te1 Te 0.5000 0.5000 0.5000
Ir1 Ir 0.5000 0.5000 0.0000
```

## Properties
Space group: P4/mmm, No. 123
Energy above the lowest structure with this stoichiometry in eV/atom: 0.1376
Uncorrected formation energy in eV per atom: -0.853

=====

No. 8
Pr4Te3Ir after structural relaxation. Source: Alexandria, functional PBE.

CIF file:
```
data_Pr4Te3Ir
_cell_length_a 6.3576
_cell_length_b 10.2956
_cell_length_c 9.4749
_cell_angle_alpha 90.00
_cell_angle_beta 90.00
_cell_angle_gamma 90.00
_symmetry_space_group_name_H-M 'P 1'
_symmetry_Int_Tables_number 1
loop_
_symmetry_equiv_pos_as_xyz
'x,y,z'
loop_
_atom_site_label
_atom_site_type_symbol
_atom_site_fract_x
_atom_site_fract_y
_atom_site_fract_z
Pr1 Pr 0.2500 0.0308 0.1870
Pr2 Pr 0.2500 0.2500 0.6312
Pr3 Pr 0.2500 0.4692 0.1870
Pr4 Pr 0.2500 0.7500 0.6577
Pr5 Pr 0.7500 0.2500 0.3423
Pr6 Pr 0.7500 0.5308 0.8130
Pr7 Pr 0.7500 0.7500 0.3688
Pr8 Pr 0.7500 0.9692 0.8130
Te1 Te 0.2500 0.0076 0.8460
Te2 Te 0.2500 0.4924 0.8460
Te3 Te 0.2500 0.7500 0.3251
Te4 Te 0.7500 0.2500 0.6749
Te5 Te 0.7500 0.5076 0.1540
Te6 Te 0.7500 0.9924 0.1540
Ir1 Ir 0.2500 0.2500 0.3457
Ir2 Ir 0.7500 0.7500 0.6543
```

## Properties
Space group: Pmmn, No. 59
Energy above the lowest structure with this stoichiometry in eV/atom: 0.2427
Uncorrected formation energy in eV per atom: -0.988

=====

No. 9
Pr6TeIr3 after structural relaxation. Source: Alexandria, functional PBE.

CIF file:
```
data_Pr6TeIr3
_cell_length_a 12.1508
_cell_length_b 4.2904
_cell_length_c 12.2635
_cell_angle_alpha 90.00
_cell_angle_beta 107.91
_cell_angle_gamma 90.00
_symmetry_space_group_name_H-M 'P 1'
_symmetry_Int_Tables_number 1
loop_
_symmetry_equiv_pos_as_xyz
'x,y,z'
loop_
_atom_site_label
_atom_site_type_symbol
_atom_site_fract_x
_atom_site_fract_y
_atom_site_fract_z
Pr1 Pr 0.0358 0.2500 0.4049
Pr2 Pr 0.1133 0.2500 0.9668
Pr3 Pr 0.1939 0.7500 0.2670
Pr4 Pr 0.2510 0.7500 0.7816
Pr5 Pr 0.3557 0.2500 0.5562
Pr6 Pr 0.4302 0.7500 0.0964
Pr7 Pr 0.5698 0.2500 0.9036
Pr8 Pr 0.6443 0.7500 0.4438
Pr9 Pr 0.7490 0.2500 0.2184
Pr10 Pr 0.8061 0.2500 0.7330
Pr11 Pr 0.8867 0.7500 0.0332
Pr12 Pr 0.9642 0.7500 0.5951
Te1 Te 0.4283 0.2500 0.3190
Te2 Te 0.5717 0.7500 0.6810
Ir1 Ir 0.0236 0.2500 0.1700
Ir2 Ir 0.1867 0.7500 0.5119
Ir3 Ir 0.3429 0.2500 0.9318
Ir4 Ir 0.6571 0.7500 0.0682
Ir5 Ir 0.8133 0.2500 0.4881
Ir6 Ir 0.9764 0.7500 0.8300
```

## Properties
Space group: P2_1/m, No. 11
Uncorrected formation energy in eV per atom: -0.728

=====

No. 10
Pr5Te5Ir after structural relaxation. Source: Alexandria, functional PBE.

CIF file:
```
data_Pr5Te5Ir
_cell_length_a 7.8390
_cell_length_b 7.8390
_cell_length_c 8.8798
_cell_angle_alpha 107.36
_cell_angle_beta 107.36
_cell_angle_gamma 48.20
_symmetry_space_group_name_H-M 'P 1'
_symmetry_Int_Tables_number 1
loop_
_symmetry_equiv_pos_as_xyz
'x,y,z'
loop_
_atom_site_label
_atom_site_type_symbol
_atom_site_fract_x
_atom_site_fract_y
_atom_site_fract_z
Pr1 Pr 0.0000 0.0000 0.0000
Pr2 Pr 0.3496 0.3496 0.6920
Pr3 Pr 0.3512 0.3512 0.1512
Pr4 Pr 0.6488 0.6488 0.8488
Pr5 Pr 0.6504 0.6504 0.3080
Te1 Te 0.1651 0.1651 0.8252
Te2 Te 0.1821 0.1821 0.3327
Te3 Te 0.5000 0.5000 0.5000
Te4 Te 0.8179 0.8179 0.6673
Te5 Te 0.8349 0.8349 0.1748
Ir1 Ir 0.5000 0.5000 0.0000
```

## Properties
Space group: C2/m, No. 12
Uncorrected formation energy in eV per atom: -1.267

=====

No. 11
PrTeIr after structural relaxation. Source: Alexandria, functional PBE.

CIF file:
```
data_PrTeIr
_cell_length_a 3.9504
_cell_length_b 3.9504
_cell_length_c 11.6503
_cell_angle_alpha 90.00
_cell_angle_beta 90.00
_cell_angle_gamma 120.00
_symmetry_space_group_name_H-M 'P 1'
_symmetry_Int_Tables_number 1
loop_
_symmetry_equiv_pos_as_xyz
'x,y,z'
loop_
_atom_site_label
_atom_site_type_symbol
_atom_site_fract_x
_atom_site_fract_y
_atom_site_fract_z
Pr1 Pr 0.0000 0.0000 0.1574
Pr2 Pr 0.0000 0.0000 0.8426
Te1 Te 0.6667 0.3333 0.3668
Te2 Te 0.6667 0.3333 0.6332
Ir1 Ir 0.0000 0.0000 0.5000
Ir2 Ir 0.6667 0.3333 0.0000
```

## Properties
Space group: P-6m2, No. 187
Uncorrected formation energy in eV per atom: -0.330